Computed, not measured: a relaxed structure of CaMnP2 at the PBE-GGA level of DFT.

Lattice parameters (Å, degrees): 8.1856 8.1856 8.1856 23.18 23.18 23.18
Each line ends with the local moment (μB).
Atoms (fractional coordinates):
1 Ca 0.5048 0.5048 0.5048  -0.09
2 Mn 0.7321 0.7321 0.7321  3.37
3 P 0.9941 0.9941 0.9941  -0.05
4 P 0.2690 0.2690 0.2690  0.03

Calculated values
Formation energy ... 0.21 eV/atom
Size of the total moment ... 3.223 μB per cell
Energy ... -21.1 eV per cell



Computed, not measured: a relaxed structure of LiNdEu at the PBE-GGA level of DFT.

Lattice parameters (Å, degrees): 3.8331 3.8331 7.1391 105.57 105.57 90.00
Each line ends with the local moment (μB).
Atoms (fractional coordinates):
1 Eu 0.0152 0.0152 0.0304  6.97
2 Nd 0.3150 0.3150 0.6300  0.20
3 Li 0.6698 0.6698 0.3396  0.01

Calculated values
Formation energy ... 0.11 eV/atom
Size of the total moment ... 7.958 μB per cell
Energy ... -16.6 eV per cell



Computed, not measured: a relaxed structure of Ba2PaWN5 at the PBE-GGA level of DFT.

Lattice parameters (Å, degrees): 3.5504 7.7684 11.9730 90.00 90.00 103.21
Atoms (fractional coordinates):
1 Ba 0.8597 0.7195 0.7850
2 Ba 0.1124 0.2249 0.7107
3 Ba 0.1403 0.2805 0.2850
4 Ba 0.8876 0.7751 0.2107
5 Pa 0.7858 0.5716 0.5067
6 Pa 0.2142 0.4284 0.0067
7 W 0.5025 0.0050 0.9673
8 W 0.4975 0.9950 0.4673
9 N 0.3841 0.7681 0.0054
10 N 0.7031 0.4063 0.8935
11 N 0.4980 0.9960 0.8156
12 N 0.2818 0.5636 0.6214
13 N 0.9517 0.9035 0.5183
14 N 0.6159 0.2319 0.5054
15 N 0.2969 0.5937 0.3935
16 N 0.5020 0.0040 0.3156
17 N 0.7182 0.4364 0.1214
18 N 0.0483 0.0965 0.0183

Calculated values
Formation energy without anion corrections ... -1.034 eV/atom
Size of the total moment ... 0.000 μB per cell
Energy ... -154.5 eV per cell